# NaAl2Hg2 | Alexandria | GGA-PBE | optimized geometry
data_NaAl2Hg2
_chemical_formula_sum 'Na2 Al4 Hg4'
_symmetry_space_group_name_H-M 'P 4/m b m'
_symmetry_Int_Tables_number 127
_symmetry_space_group_name_Hall '-P 4 2ab'
_cell_length_a 8.055
_cell_length_b 8.055
_cell_length_c 3.416
_cell_angle_alpha 90.00
_cell_angle_beta 90.00
_cell_angle_gamma 90.00
loop_
_atom_site_label
_atom_site_type_symbol
_atom_site_fract_x
_atom_site_fract_y
_atom_site_fract_z
Na1 Na 0.000 0.000 0.000
Al1 Al 0.118 0.382 0.000
Hg1 Hg 0.183 0.683 0.500
# Formation enthalpy at 0 K = 0.0441 eV per atom



# NaMgSb2 | Alexandria | GGA-PBE | optimized geometry
data_NaMgSb2
_chemical_formula_sum 'Na1 Mg1 Sb2'
_symmetry_space_group_name_H-M 'P 4/m m m'
_symmetry_Int_Tables_number 123
_symmetry_space_group_name_Hall '-P 4 2'
_cell_length_a 3.976
_cell_length_b 3.976
_cell_length_c 6.794
_cell_angle_alpha 90.00
_cell_angle_beta 90.00
_cell_angle_gamma 90.00
loop_
_atom_site_label
_atom_site_type_symbol
_atom_site_fract_x
_atom_site_fract_y
_atom_site_fract_z
Na1 Na 0.000 0.000 0.000
Mg1 Mg 0.000 0.000 0.500
Sb1 Sb 0.500 0.500 0.289
# Uncorrected formation energy = -0.239 eV per atom



# KNa2Tl | Alexandria | GGA-PBE | optimized geometry
data_KNa2Tl
_chemical_formula_sum 'K4 Na8 Tl4'
_symmetry_space_group_name_H-M 'P 1 21/c 1'
_symmetry_Int_Tables_number 14
_cell_length_a 9.067
_cell_length_b 7.087
_cell_length_c 12.177
_cell_angle_alpha 90.00
_cell_angle_beta 128.99
_cell_angle_gamma 90.00
loop_
_symmetry_equiv_pos_as_xyz
'x,y,z'
'-x,-y,-z'
'-x,y+1/2,-z+1/2'
'x,-y+1/2,z+1/2'
loop_
_atom_site_label
_atom_site_type_symbol
_atom_site_fract_x
_atom_site_fract_y
_atom_site_fract_z
K1 K 0.095 0.083 0.390
Na1 Na 0.397 0.202 0.279
Na2 Na 0.401 0.687 0.373
Tl1 Tl 0.174 0.596 0.522
# Formation enthalpy at 0 K = -0.0365 eV per atom



# CrNiPb3 | Alexandria | GGA-PBE | optimized geometry
data_CrNiPb3
_chemical_formula_sum 'Cr1 Ni1 Pb3'
_symmetry_space_group_name_H-M 'P m -3 m'
_symmetry_Int_Tables_number 221
_symmetry_space_group_name_Hall '-P 4 2 3'
_cell_length_a 5.081
_cell_length_b 5.081
_cell_length_c 5.081
_cell_angle_alpha 90.00
_cell_angle_beta 90.00
_cell_angle_gamma 90.00
loop_
_atom_site_label
_atom_site_type_symbol
_atom_site_fract_x
_atom_site_fract_y
_atom_site_fract_z
Cr1 Cr 0.000 0.000 0.000
Ni1 Ni 0.500 0.500 0.500
Pb1 Pb 0.000 0.500 0.500
# Formation enthalpy at 0 K = 1.0422 eV per atom



# CsLaY2Mo | Alexandria | GGA-PBE | optimized geometry
data_CsLaY2Mo
_chemical_formula_sum 'Cs1 La1 Y2 Mo1'
_symmetry_space_group_name_H-M 'P 4/m m m'
_symmetry_Int_Tables_number 123
_symmetry_space_group_name_Hall '-P 4 2'
_cell_length_a 5.504
_cell_length_b 5.504
_cell_length_c 5.718
_cell_angle_alpha 90.00
_cell_angle_beta 90.00
_cell_angle_gamma 90.00
loop_
_atom_site_label
_atom_site_type_symbol
_atom_site_fract_x
_atom_site_fract_y
_atom_site_fract_z
Cs1 Cs 0.000 0.000 0.000
La1 La 0.000 0.000 0.500
Y1 Y 0.000 0.500 0.000
Mo1 Mo 0.500 0.500 0.500
# Formation enthalpy at 0 K = 1.9854 eV per atom



# ZnCr2Ag | Alexandria | GGA-PBE | optimized geometry
data_ZnCr2Ag
_chemical_formula_sum 'Zn2 Cr4 Ag2'
_symmetry_space_group_name_H-M 'C 1 m 1'
_symmetry_Int_Tables_number 8
_cell_length_a 9.201
_cell_length_b 3.071
_cell_length_c 4.581
_cell_angle_alpha 90.00
_cell_angle_beta 111.15
_cell_angle_gamma 90.00
loop_
_symmetry_equiv_pos_as_xyz
'x,y,z'
'x,-y,z'
'x+1/2,y+1/2,z'
'x+1/2,-y+1/2,z'
loop_
_atom_site_label
_atom_site_type_symbol
_atom_site_fract_x
_atom_site_fract_y
_atom_site_fract_z
Zn1 Zn 0.000 0.000 0.000
Cr1 Cr 0.259 0.500 0.305
Cr2 Cr 0.477 0.000 0.476
Ag1 Ag 0.246 0.000 0.795
# Formation enthalpy at 0 K = 0.3179 eV per atom



Number 1: theoretical density 7.2 g cm⁻³, DOS(E_F) 0.456 states/eV per atom, total DFT energy (no corrections) -1.837 eV/atom. Number 2: theoretical density 4.5 g cm⁻³, DOS(E_F) 0.382 states/eV per atom, total DFT energy (no corrections) -3.029 eV/atom. Number 3: theoretical density 3.2 g cm⁻³, DOS(E_F) 0.451 states/eV per atom, total DFT energy (no corrections) -1.562 eV/atom. Number 4: theoretical density 9.3 g cm⁻³, DOS(E_F) 2.818 states/eV per atom, total DFT energy (no corrections) -4.264 eV/atom. Number 5: theoretical density 5.2 g cm⁻³, DOS(E_F) 2.009 states/eV per atom, total DFT energy (no corrections) -3.923 eV/atom. Number 6: theoretical density 7.6 g cm⁻³, DOS(E_F) 0.594 states/eV per atom, total DFT energy (no corrections) -5.525 eV/atom.